(1)
The following is a PBE-GGA calculation of a geometry-optimized TbHoGa structure, from the Alexandria database.

Lattice parameters (Å, degrees): 3.6509 4.9632 4.9632 120.00 90.00 90.00
Atoms (fractional coordinates):
Tb 0.3896 0.3333 0.6667
Ho 0.9267 0.0000 0.0000
Ga 0.6838 0.6667 0.3333

Summary:
- ΔH_f (0 K): -276 meV/atom
- DFT total energy: -0.160 hartree per atom
- Magnetization: 0.00 Bohr magnetons per cell
- Energy above the lowest structure with this stoichiometry: 123 meV/atom



(2)
The following is a PBE-GGA calculation of a geometry-optimized Tb2HoGa3 structure, from the Alexandria database.

Lattice parameters (Å, degrees): 5.0512 5.0512 12.4121 90.00 90.00 120.00
Atoms (fractional coordinates):
Tb 0.0000 0.0000 0.5000
Tb 0.3333 0.6667 0.1677
Tb 0.6667 0.3333 0.8323
Tb 0.0000 0.0000 0.0000
Ho 0.3333 0.6667 0.6668
Ho 0.6667 0.3333 0.3332
Ga 0.3333 0.6667 0.4173
Ga 0.6667 0.3333 0.0839
Ga 0.0000 0.0000 0.7491
Ga 0.0000 0.0000 0.2509
Ga 0.3333 0.6667 0.9161
Ga 0.6667 0.3333 0.5827

Summary:
- ΔH_f (0 K): -585 meV/atom
- DFT total energy: -0.162 hartree per atom
- Magnetization: 0.00 Bohr magnetons per cell
- Energy above the lowest structure with this stoichiometry: 0 meV/atom



(3)
The following is a PBE-GGA calculation of a geometry-optimized TbHoGa4 structure, from the Alexandria database.

Lattice parameters (Å, degrees): 4.2156 4.2156 8.1827 90.00 90.00 120.00
Atoms (fractional coordinates):
Tb 0.0000 0.0000 0.5000
Ho 0.0000 0.0000 0.0000
Ga 0.3333 0.6667 0.2480
Ga 0.3333 0.6667 0.7520
Ga 0.6667 0.3333 0.2480
Ga 0.6667 0.3333 0.7520

Summary:
- ΔH_f (0 K): -643 meV/atom
- DFT total energy: -0.154 hartree per atom
- Magnetization: 0.00 Bohr magnetons per cell
- Energy above the lowest structure with this stoichiometry: 0 meV/atom



(4)
The following is a PBE-GGA calculation of a geometry-optimized TbHoGa4 structure, from the Alexandria database.

Lattice parameters (Å, degrees): 5.5071 5.5071 5.5071 60.00 60.00 60.00
Atoms (fractional coordinates):
Tb 0.0000 0.0000 0.0000
Ho 0.2500 0.2500 0.2500
Ga 0.6250 0.6250 0.1251
Ga 0.6250 0.1251 0.6250
Ga 0.6250 0.6250 0.6250
Ga 0.1251 0.6250 0.6250

Summary:
- ΔH_f (0 K): -553 meV/atom
- DFT total energy: -0.151 hartree per atom
- Magnetization: 0.00 Bohr magnetons per cell
- Energy above the lowest structure with this stoichiometry: 90 meV/atom